Here is a geometry-optimized CrSO2 structure from Alexandria via LeMat-Bulk. Energies are from GGA+U.

Output
E ... -6.418 eV per atom
Symmetry ... R-3m

Geometry as POSCAR:
```
CrSO2
1.0
1.749 0.000 5.888
-0.874 1.514 5.888
-0.874 -1.514 5.888
Cr S O
1 1 2
direct
0.500 0.500 0.500
0.000 0.000 0.000
0.890 0.890 0.890
0.110 0.110 0.110
```